4
Lattice="5.383 0.000 0.000 0.000 5.383 0.000 0.000 0.000 5.383" Properties=species:S:1:pos:R:3 comment="PBE MgSc3, relaxed" e_tot_ev_per_atom=-3.852 n_ef_per_ev_fu=6.79 formation_energy_mev_per_atom=1295 pbc="T T T"
Sc 2.691 0.000 0.000
Sc 0.000 2.691 0.000
Sc 0.000 0.000 2.691
Mg 0.000 0.000 0.000



4
Lattice="2.855 0.000 0.000 0.000 2.855 0.000 0.000 0.000 5.619" Properties=species:S:1:pos:R:3 comment="PBE Cr3Fe, relaxed" e_tot_ev_per_atom=-9.237 n_ef_per_ev_fu=4.55 formation_energy_mev_per_atom=96 pbc="T T T"
Cr 0.000 0.000 0.021
Cr 0.000 0.000 2.788
Cr 1.428 1.428 1.405
Fe 1.428 1.428 4.214



10
Lattice="4.715 0.000 0.000 0.000 4.715 0.000 0.000 0.000 10.768" Properties=species:S:1:pos:R:3 comment="PBE Ac2CuSb4Pd3, relaxed" e_tot_ev_per_atom=-5.243 raw_formation_energy_ev_per_atom=-0.805 n_ef_per_ev_fu=2.64 pbc="T T T"
Ac 2.357 0.000 2.809
Ac 0.000 2.357 7.958
Pd 0.000 0.000 5.384
Pd 2.357 0.000 9.398
Pd 0.000 2.357 1.369
Cu 2.357 2.357 5.384
Sb 0.000 2.357 4.037
Sb 2.357 2.357 0.000
Sb 0.000 0.000 0.000
Sb 2.357 0.000 6.730



15
Lattice="7.209 0.000 3.255 3.605 8.853 1.628 -0.039 0.000 9.696" Properties=species:S:1:pos:R:3 comment="PBE La10Pm4Nd, relaxed" e_tot_ev_per_atom=-4.231 n_ef_per_ev_fu=28.23 formation_energy_mev_per_atom=639 pbc="T T T"
Pm 5.023 1.758 8.097
Pm 5.752 7.095 6.482
Pm 7.894 5.313 11.349
Pm 2.881 3.540 3.229
La 4.313 0.889 4.862
La 7.190 4.426 8.103
La 6.463 7.964 9.717
La 5.042 6.196 3.252
La 8.645 6.196 4.879
La 2.130 2.656 9.700
La 5.733 2.656 11.327
La 10.065 7.964 11.344
La 3.585 4.426 6.476
La 0.710 0.889 3.235
Nd 0.000 0.000 0.000



9
Lattice="-2.369 3.034 1.554 -0.739 -2.305 3.372 7.214 3.573 4.023" Properties=species:S:1:pos:R:3 comment="PBE Er2Ge2Ir5, relaxed" e_tot_ev_per_atom=-7.585 n_ef_per_ev_fu=4.30 formation_energy_mev_per_atom=-622 pbc="T T T"
Er 3.607 1.787 2.012
Er 0.000 0.000 0.000
Ir 4.849 1.432 4.597
Ir 4.034 4.102 3.688
Ir 1.625 -0.164 2.799
Ir 2.052 2.151 4.475
Ir 0.810 2.505 1.890
Ge 4.678 3.451 5.939
Ge -0.573 0.850 3.011



3
Lattice="-2.261 1.417 4.436 -1.479 -3.345 0.314 3.296 0.693 1.459" Properties=species:S:1:pos:R:3 comment="PBE DyHPb, relaxed" e_tot_ev_per_atom=-4.434 n_ef_per_ev_fu=0.78 pbc="T T T"
Dy -0.264 -1.763 1.434
Pb 0.197 0.292 4.034
H -0.378 0.237 0.741